Entry 1:
Compound: LaAl2Ir
Source: the Alexandria database
Functional: GGA-PBE
Structure: relaxed

a b c (Å): 5.555 5.555 3.034
angles (deg): 90.00 90.00 120.67
Atoms (fractional coordinates):
1 La 0.000 0.000 0.000
2 Al 0.000 0.500 0.500
3 Al 0.500 0.000 0.500
4 Ir 0.500 0.500 0.000

Output
SG: Cmmm
DFT total energy in eV per atom: -5.33
Formation enthalpy at 0 K in eV per atom: -0.009
M_tot in μB per atom: 0.00
DOS at the Fermi energy in states/eV per cell: 2.689

Entry 2:
Compound: La2AlIr
Source: the Alexandria database
Functional: GGA-PBE
Structure: relaxed

a b c (Å): 3.311 3.311 9.132
angles (deg): 90.00 90.00 90.00
Atoms (fractional coordinates):
1 La 0.000 0.000 0.000
2 La 0.500 0.500 0.391
3 Al 0.000 0.000 0.648
4 Ir 0.500 0.500 0.778

Output
SG: P4mm
DFT total energy in eV per atom: -6.00
Formation enthalpy at 0 K in eV per atom: -0.381
M_tot in μB per atom: 0.00
DOS at the Fermi energy in states/eV per cell: 4.991

Entry 3:
Compound: LaAl3Ir
Source: the Alexandria database
Functional: GGA-PBE
Structure: relaxed

a b c (Å): 4.773 4.773 4.773
angles (deg): 90.00 90.00 90.00
Atoms (fractional coordinates):
1 La 0.000 0.000 0.000
2 Al 0.000 0.500 0.500
3 Al 0.500 0.000 0.500
4 Al 0.500 0.500 0.000
5 Ir 0.500 0.500 0.500

Output
SG: Pm-3m
DFT total energy in eV per atom: -5.51
Formation enthalpy at 0 K in eV per atom: -0.502
M_tot in μB per atom: 0.00
DOS at the Fermi energy in states/eV per cell: 3.497
Energy above the lowest structure with this stoichiometry in kJ per mole of atoms: 11.0

Entry 4:
Compound: La2Al9Ir3
Source: the Alexandria database
Functional: GGA-PBE
Structure: relaxed

a b c (Å): 7.656 7.656 9.664
angles (deg): 90.00 90.00 60.71
Atoms (fractional coordinates):
1 La 0.004 0.671 0.750
2 La 0.329 0.996 0.750
3 La 0.671 0.004 0.250
4 La 0.996 0.329 0.250
5 Al 0.004 0.664 0.073
6 Al 0.004 0.664 0.427
7 Al 0.133 0.867 0.250
8 Al 0.335 0.665 0.543
9 Al 0.335 0.665 0.957
10 Al 0.336 0.996 0.073
11 Al 0.336 0.996 0.427
12 Al 0.340 0.454 0.250
13 Al 0.454 0.340 0.750
14 Al 0.546 0.660 0.250
15 Al 0.660 0.546 0.750
16 Al 0.664 0.004 0.573
17 Al 0.664 0.004 0.927
18 Al 0.665 0.335 0.043
19 Al 0.665 0.335 0.457
20 Al 0.867 0.133 0.750
21 Al 0.996 0.336 0.573
22 Al 0.996 0.336 0.927
23 Ir 0.000 0.000 0.000
24 Ir 0.000 0.000 0.500
25 Ir 0.329 0.329 0.000
26 Ir 0.329 0.329 0.500
27 Ir 0.671 0.671 0.000
28 Ir 0.671 0.671 0.500

Output
SG: Cmcm
DFT total energy in eV per atom: -5.84
Formation enthalpy at 0 K in eV per atom: -0.831
M_tot in μB per atom: 0.00
DOS at the Fermi energy in states/eV per cell: 12.703
Energy above the lowest structure with this stoichiometry in kJ per mole of atoms: 0.0

Entry 5:
Compound: LaAl2Ir
Source: the Alexandria database
Functional: GGA-PBE
Structure: relaxed

a b c (Å): 3.115 3.115 7.834
angles (deg): 90.00 90.00 90.00
Atoms (fractional coordinates):
1 La 0.000 0.000 0.000
2 Al 0.500 0.500 0.314
3 Al 0.500 0.500 0.686
4 Ir 0.000 0.000 0.500

Output
SG: P4/mmm
DFT total energy in eV per atom: -5.87
Formation enthalpy at 0 K in eV per atom: -0.553
M_tot in μB per atom: 0.00
DOS at the Fermi energy in states/eV per cell: 3.087

Entry 6:
Compound: LaAl4Ir2
Source: the Alexandria database
Functional: GGA-PBE
Structure: relaxed

a b c (Å): 17.385 4.342 6.716
angles (deg): 90.00 90.00 90.00
Atoms (fractional coordinates):
1 La 0.139 0.250 0.011
2 La 0.361 0.750 0.511
3 La 0.639 0.250 0.489
4 La 0.861 0.750 0.989
5 Al 0.033 0.750 0.835
6 Al 0.070 0.250 0.496
7 Al 0.188 0.750 0.321
8 Al 0.193 0.750 0.718
9 Al 0.307 0.250 0.218
10 Al 0.312 0.250 0.821
11 Al 0.430 0.750 0.996
12 Al 0.467 0.250 0.335
13 Al 0.533 0.750 0.665
14 Al 0.570 0.250 0.004
15 Al 0.688 0.750 0.179
16 Al 0.693 0.750 0.782
17 Al 0.807 0.250 0.282
18 Al 0.812 0.250 0.679
19 Al 0.930 0.750 0.504
20 Al 0.967 0.250 0.165
21 Ir 0.038 0.750 0.248
22 Ir 0.216 0.250 0.518
23 Ir 0.284 0.750 0.018
24 Ir 0.462 0.250 0.748
25 Ir 0.538 0.750 0.252
26 Ir 0.716 0.250 0.982
27 Ir 0.784 0.750 0.482
28 Ir 0.962 0.250 0.752

Output
SG: Pnma
DFT total energy in eV per atom: -6.13
Formation enthalpy at 0 K in eV per atom: -0.756
M_tot in μB per atom: 0.00
DOS at the Fermi energy in states/eV per cell: 16.272

Entry 7:
Compound: LaAl2Ir
Source: the Alexandria database
Functional: GGA-PBE
Structure: relaxed

a b c (Å): 5.996 5.996 5.996
angles (deg): 151.19 126.69 61.72
Atoms (fractional coordinates):
1 La 0.000 0.000 0.000
2 Al 0.294 0.794 0.500
3 Al 0.706 0.206 0.500
4 Ir 0.500 0.500 0.000

Output
SG: Immm
DFT total energy in eV per atom: -5.69
Formation enthalpy at 0 K in eV per atom: -0.375
M_tot in μB per atom: 0.00
DOS at the Fermi energy in states/eV per cell: 2.758

Entry 8:
Compound: La2AlIr
Source: the Alexandria database
Functional: GGA-PBE
Structure: relaxed

a b c (Å): 6.494 6.494 6.494
angles (deg): 147.03 137.10 55.14
Atoms (fractional coordinates):
1 La 0.000 0.000 0.000
2 La 0.708 0.208 0.500
3 Al 0.311 0.811 0.500
4 Ir 0.463 0.463 0.000

Output
SG: Imm2
DFT total energy in eV per atom: -6.12
Formation enthalpy at 0 K in eV per atom: -0.508
M_tot in μB per atom: 0.00
DOS at the Fermi energy in states/eV per cell: 4.658

Entry 9:
Compound: La3Al2Ir
Source: the Alexandria database
Functional: GGA-PBE
Structure: relaxed

a b c (Å): 6.853 6.853 7.646
angles (deg): 102.52 102.52 83.03
Atoms (fractional coordinates):
1 La 0.110 0.890 0.750
2 La 0.259 0.415 0.028
3 La 0.415 0.259 0.528
4 La 0.585 0.741 0.472
5 La 0.741 0.585 0.972
6 La 0.890 0.110 0.250
7 Al 0.028 0.567 0.361
8 Al 0.433 0.972 0.139
9 Al 0.567 0.028 0.861
10 Al 0.972 0.433 0.639
11 Ir 0.199 0.801 0.250
12 Ir 0.801 0.199 0.750

Output
SG: C2/c
DFT total energy in eV per atom: -5.62
Formation enthalpy at 0 K in eV per atom: -0.432
M_tot in μB per atom: 0.00
DOS at the Fermi energy in states/eV per cell: 9.974

Entry 10:
Compound: La4AlIr
Source: the Alexandria database
Functional: GGA-PBE
Structure: relaxed

a b c (Å): 6.213 6.213 6.213
angles (deg): 60.00 60.00 60.00
Atoms (fractional coordinates):
1 La 0.376 0.376 0.376
2 La 0.376 0.376 0.873
3 La 0.376 0.873 0.376
4 La 0.873 0.376 0.376
5 Al 0.000 0.000 0.000
6 Ir 0.750 0.750 0.750

Output
SG: F-43m
DFT total energy in eV per atom: -4.85
Formation enthalpy at 0 K in eV per atom: 0.540
M_tot in μB per atom: 0.00
DOS at the Fermi energy in states/eV per cell: 8.201
Energy above the lowest structure with this stoichiometry in kJ per mole of atoms: 96.7

Entry 11:
Compound: LaAl3Ir
Source: the Alexandria database
Functional: GGA-PBE
Structure: relaxed

a b c (Å): 5.309 5.309 5.309
angles (deg): 90.00 90.00 90.00
Atoms (fractional coordinates):
1 La 0.000 0.000 0.000
2 Al 0.000 0.000 0.500
3 Al 0.000 0.500 0.000
4 Al 0.500 0.000 0.000
5 Ir 0.500 0.500 0.500

Output
SG: Pm-3m
DFT total energy in eV per atom: -2.94
Formation enthalpy at 0 K in eV per atom: 2.059
M_tot in μB per atom: 0.07
DOS at the Fermi energy in states/eV per cell: 6.408
Energy above the lowest structure with this stoichiometry in kJ per mole of atoms: 258.1

Entry 12:
Compound: La2AlIr
Source: the Alexandria database
Functional: GGA-PBE
Structure: relaxed

a b c (Å): 6.334 6.334 6.334
angles (deg): 41.92 41.92 41.92
Atoms (fractional coordinates):
1 La 0.000 0.000 0.000
2 La 0.197 0.197 0.197
3 Al 0.430 0.430 0.430
4 Ir 0.773 0.773 0.773

Output
SG: R3m
DFT total energy in eV per atom: -6.19
Formation enthalpy at 0 K in eV per atom: -0.577
M_tot in μB per atom: 0.00
DOS at the Fermi energy in states/eV per cell: 2.866